Here is a relaxed AlCd2Re crystal from Alexandria. Energies are from PBE-GGA.

Results
* M_tot: 0.0 μB/cell
* formation energy from the elements: 407.6 meV per atom
* raw total energy: -4.098 eV/atom

Lattice parameters (Å, degrees): 5.346 5.346 5.346 140.86 131.72 63.83
Sites, in units of the cell vectors:
1 Re 0.480 0.480 0.000
2 Al 0.271 0.771 0.500
3 Cd 0.009 0.009 0.000
4 Cd 0.740 0.240 0.500